Material: BeCu2Au2
Method: DFT, PBE
State: optimized geometry

Summary:
total moment = 0.00 μB/cell
final energy = -3.594 eV/atom
polymorph energy (0 for the lowest one) = 171 meV per atom
calculated formation energy = 0.1011 eV per atom

Geometry as extended XYZ:
```
10
Lattice="6.198 0.000 0.000 0.000 6.198 0.000 0.000 0.000 3.935" Properties=species:S:1:pos:R:3 pbc="T T T"
Be 0.000 0.000 0.000
Be 3.099 3.099 0.000
Cu 0.912 2.187 1.967
Cu 2.187 5.286 1.967
Cu 4.010 0.912 1.967
Cu 5.286 4.010 1.967
Au 0.991 4.089 0.000
Au 2.108 0.991 0.000
Au 4.089 5.207 0.000
Au 5.207 2.108 0.000
```

Material: Be3Cu2Au
Method: DFT, PBE
State: optimized geometry

Summary:
total moment = 0.00 μB/cell
final energy = -3.865 eV/atom
calculated formation energy = -0.0903 eV per atom

Geometry as extended XYZ:
```
6
Lattice="2.833 0.000 0.000 0.000 2.833 0.000 0.000 0.000 8.173" Properties=species:S:1:pos:R:3 pbc="T T T"
Be 0.000 0.000 0.000
Be 0.000 0.000 2.505
Be 0.000 0.000 5.668
Cu 1.416 1.416 1.290
Cu 1.416 1.416 6.883
Au 1.416 1.416 4.086
```

Material: BeCu7Au12
Method: DFT, PBE
State: optimized geometry

Summary:
total moment = 0.00 μB/cell
final energy = -3.578 eV/atom
calculated formation energy = 0.0086 eV per atom

Geometry as extended XYZ:
```
20
Lattice="5.602 3.234 2.915 -5.602 3.234 2.915 0.000 -6.468 2.915" Properties=species:S:1:pos:R:3 pbc="T T T"
Be 0.000 0.000 0.000
Cu -3.506 1.791 2.490
Cu 0.202 -3.932 2.490
Cu -3.304 -2.141 6.253
Cu 0.000 0.000 4.372
Cu 3.304 2.141 2.490
Cu -0.202 3.932 6.253
Cu 3.506 -1.791 6.253
Au -1.482 -0.638 2.051
Au -1.363 -2.559 4.260
Au -2.898 -0.099 4.483
Au 1.293 -0.964 2.051
Au 0.188 1.602 2.051
Au -1.534 2.460 4.260
Au 1.534 -2.460 4.483
Au -0.188 -1.602 6.693
Au -1.293 0.964 6.693
Au 2.898 0.099 4.260
Au 1.363 2.559 4.483
Au 1.482 0.638 6.693
```

Material: Be2Cu5Au4
Method: DFT, PBE
State: optimized geometry

Summary:
total moment = 0.00 μB/cell
final energy = -3.768 eV/atom
calculated formation energy = -0.0368 eV per atom

Geometry as extended XYZ:
```
11
Lattice="6.444 0.000 0.000 0.000 2.894 0.000 -0.530 0.000 8.140" Properties=species:S:1:pos:R:3 pbc="T T T"
Be 0.396 0.000 1.131
Be 5.518 0.000 7.008
Cu 0.788 0.000 5.305
Cu 2.835 0.000 1.486
Cu 2.957 0.000 4.070
Cu 3.079 0.000 6.654
Cu 5.125 0.000 2.834
Au 1.018 1.447 2.989
Au 0.994 1.447 7.620
Au 4.919 1.447 0.519
Au 4.896 1.447 5.151
```

Material: Be3Cu2Au8
Method: DFT, PBE
State: optimized geometry

Summary:
total moment = 0.00 μB/cell
final energy = -3.465 eV/atom
polymorph energy (0 for the lowest one) = 67 meV per atom
calculated formation energy = 0.0415 eV per atom

Geometry as extended XYZ:
```
13
Lattice="5.427 -3.788 0.000 5.427 3.788 0.000 -0.801 0.000 5.152" Properties=species:S:1:pos:R:3 pbc="T T T"
Be 0.000 0.000 0.000
Be 5.026 2.573 2.576
Be 5.026 -2.573 2.576
Cu 1.410 0.000 4.269
Cu 8.643 0.000 0.883
Au 1.475 0.000 1.699
Au 4.090 1.438 0.603
Au 3.803 0.000 3.231
Au 5.963 1.438 4.549
Au 4.090 -1.438 0.603
Au 6.250 0.000 1.921
Au 5.963 -1.438 4.549
Au 8.578 0.000 3.453
```

Material: BeCu2Au2
Method: DFT, PBE
State: optimized geometry

Summary:
total moment = 0.00 μB/cell
final energy = -3.764 eV/atom
polymorph energy (0 for the lowest one) = 0 meV per atom
calculated formation energy = -0.0698 eV per atom

Geometry as extended XYZ:
```
5
Lattice="-1.437 1.437 8.255 1.437 -1.437 8.255 1.437 1.437 -8.255" Properties=species:S:1:pos:R:3 pbc="T T T"
Be 0.000 0.000 0.000
Cu 0.000 0.000 3.383
Cu 0.000 0.000 13.128
Au 0.000 0.000 6.744
Au 0.000 0.000 9.767
```